Material: ErAgWO5
Method: DFT, PBE+U
State: relaxed

Cell: 6.271 6.271 8.418 Å, 109.22 109.22 93.25°
Element x y z (fractional)
1 Er 0.000 0.000 0.500
2 Er 0.000 0.000 0.000
3 Ag 0.294 0.706 0.250
4 Ag 0.706 0.294 0.750
5 W 0.639 0.361 0.250
6 W 0.361 0.639 0.750
7 O 0.060 0.940 0.250
8 O 0.940 0.060 0.750
9 O 0.764 0.252 0.080
10 O 0.236 0.748 0.920
11 O 0.748 0.236 0.420
12 O 0.252 0.764 0.580
13 O 0.718 0.673 0.354
14 O 0.282 0.327 0.646
15 O 0.327 0.282 0.146
16 O 0.673 0.718 0.854

Total magnetization: 0.00 μB/f.u.
Raw total energy: -0.5136 Ry/atom
Fermi-level density of states: 0.0 states/eV/cell